(1)
Material: MnIr2Se
Method: DFT, PBE
State: optimized geometry

Structure (extended XYZ):
```
4
Lattice="2.843 0.000 0.000 0.000 4.699 0.000 0.000 0.000 4.535" Properties=species:S:1:pos:R:3 pbc="T T T"
Ir 0.000 0.000 0.000
Ir 1.422 2.350 0.000
Se 0.000 2.350 2.268
Mn 1.422 0.000 2.268
```

Properties
- Spin magnetization: 0.885 μB/atom
- Space group: Pmmm (47)
- E: -7.327 eV per atom

=====

(2)
Material: MnIrSe4
Method: DFT, PBE
State: optimized geometry

Structure (extended XYZ):
```
6
Lattice="-1.450 0.972 4.537 -4.633 -0.054 -1.469 2.736 -6.429 -0.353" Properties=species:S:1:pos:R:3 pbc="T T T"
Ir -0.878 -2.499 2.859
Se -0.752 -0.050 2.374
Se -1.003 -4.948 3.343
Se -3.162 -1.904 2.001
Se -0.184 -3.607 0.714
Mn -3.042 0.459 1.534
```

Properties
- Energy relative to the lowest polymorph listed for this composition: 251 meV/atom
- Spin magnetization: 0.411 μB/atom
- Space group: I-4m2 (119)
- E: -5.425 eV per atom

=====

(3)
Material: MnIr2Se
Method: DFT, PBE
State: optimized geometry

Structure (extended XYZ):
```
4
Lattice="-4.088 2.551 -0.501 -2.258 -1.214 -4.110 1.779 -2.637 3.653" Properties=species:S:1:pos:R:3 pbc="T T T"
Mn -3.173 0.668 -2.305
Ir -1.826 -1.592 -1.381
Ir 0.000 0.000 0.000
Se -2.741 0.291 0.423
```

Properties
- Spin magnetization: 0.878 μB/atom
- Space group: I-4m2 (119)
- E: -7.223 eV per atom

=====

(4)
Material: MnIr2Se
Method: DFT, PBE
State: optimized geometry

Structure (extended XYZ):
```
4
Lattice="8.397 -0.137 -0.081 7.935 2.750 -0.081 7.935 1.269 2.440" Properties=species:S:1:pos:R:3 pbc="T T T"
Ir 12.170 1.947 1.143
Ir 24.232 3.876 2.276
Se 18.201 2.911 1.709
Mn 6.067 0.970 0.570
```

Properties
- Spin magnetization: 0.959 μB/atom
- Space group: R-3m (166)
- E: -7.387 eV per atom

=====

(5)
Material: MnIr2Se
Method: DFT, PBE
State: optimized geometry

Structure (extended XYZ):
```
8
Lattice="-5.007 2.461 -0.248 -2.245 -4.756 -1.879 -4.578 -2.599 3.749" Properties=species:S:1:pos:R:3 pbc="T T T"
Ir -4.434 0.235 0.553
Ir -9.725 -3.843 0.996
Ir -6.207 -2.925 1.969
Ir -3.294 -3.255 -0.274
Mn -3.626 -1.147 -1.064
Mn -5.224 -4.251 0.403
Se 0.000 0.000 0.000
Se -6.605 -0.643 1.219
```

Properties
- Spin magnetization: 0.000 μB/atom
- Space group: I-42d (122)
- E: -6.973 eV per atom

=====

(6)
Material: MnIr2Se
Method: DFT, PBE
State: optimized geometry

Structure (extended XYZ):
```
4
Lattice="5.085 0.080 -0.590 4.214 2.847 -0.590 0.717 0.226 4.288" Properties=species:S:1:pos:R:3 pbc="T T T"
Mn 4.683 1.474 1.506
Ir 0.983 0.309 4.057
Ir 7.694 2.422 2.463
Se 2.380 0.749 0.923
```

Properties
- Spin magnetization: 0.821 μB/atom
- Space group: Cm (8)
- E: -7.349 eV per atom